Entry 1:
Density functional theory data (PBE) for a geometry-optimized TaIr4Pt structure.

Properties
Space group: F-43m (216)
Energy relative to the elements (eV per atom): 0.02

Lattice parameters (Å, degrees): 5.1418 5.1418 5.1418 60.00 60.00 60.00
Closest atoms and distances in Å follow each position.
Positions (direct):
1 Ta 0.0000 0.0000 0.0000  12 Ir 3.02, 4 Pt 3.15
2 Ir 0.3752 0.3752 0.3752  6 Ir 2.57
3 Ir 0.3752 0.3752 0.8744  6 Ir 2.57
4 Ir 0.3752 0.8744 0.3752  6 Ir 2.57
5 Ir 0.8744 0.3752 0.3752  6 Ir 2.57
6 Pt 0.7500 0.7500 0.7500  12 Ir 3.01, 4 Ta 3.15

=====

Entry 2:
Density functional theory data (PBE) for a geometry-optimized CeMg6Cu structure.

Properties
Space group: Amm2 (38)
Energy relative to the elements (eV per atom): 0.07

Lattice parameters (Å, degrees): 4.8626 5.8953 13.1383 90.00 90.00 90.00
Closest atoms and distances in Å follow each position.
Positions (direct):
1 Ce 0.0000 0.0000 0.0000  2 Cu 3.14, 8 Mg 3.21-3.49
2 Ce 0.0000 0.5000 0.5000  2 Cu 3.14, 8 Mg 3.21-3.49
3 Mg 0.0000 0.2464 0.7397  1 Cu 2.78, 6 Mg 2.91-3.04
4 Mg 0.0000 0.2536 0.2397  1 Cu 2.78, 6 Mg 2.91-3.04
5 Mg 0.0000 0.7464 0.2397  1 Cu 2.78, 6 Mg 2.91-3.04
6 Mg 0.0000 0.7536 0.7397  1 Cu 2.78, 6 Mg 2.91-3.04
7 Mg 0.5000 0.0000 0.1594  8 Mg 3.04-3.21, 2 Ce 3.21
8 Mg 0.5000 0.0000 0.5841  4 Mg 3.09-3.11, 2 Cu 3.27
9 Mg 0.5000 0.2480 0.3773  2 Cu 2.89, 6 Mg 2.92-3.21
10 Mg 0.5000 0.2520 0.8773  2 Cu 2.89, 6 Mg 2.92-3.21
11 Mg 0.5000 0.5000 0.0841  4 Mg 3.09-3.11, 2 Cu 3.27
12 Mg 0.5000 0.5000 0.6594  8 Mg 3.04-3.21, 2 Ce 3.21
13 Mg 0.5000 0.7480 0.8773  2 Cu 2.89, 6 Mg 2.92-3.21
14 Mg 0.5000 0.7520 0.3773  2 Cu 2.89, 6 Mg 2.92-3.21
15 Cu 0.0000 0.0000 0.4179  6 Mg 2.78-2.89
16 Cu 0.0000 0.5000 0.9179  6 Mg 2.78-2.89

=====

Entry 3:
Density functional theory data (PBE) for a geometry-optimized NaNiWAu2 structure.

Properties
Space group: P4/mmm (123)
Energy relative to the elements (eV per atom): 0.82

Lattice parameters (Å, degrees): 4.9271 4.9271 4.4377 90.00 90.00 90.00
Closest atoms and distances in Å follow each position.
Positions (direct):
1 Na 0.0000 0.0000 0.0000  8 Au 3.32, 4 W 3.48
2 Ni 0.5000 0.5000 0.5000  2 W 2.22, 4 Au 2.46
3 W 0.5000 0.5000 0.0000  2 Ni 2.22
4 Au 0.0000 0.5000 0.5000  2 Ni 2.46
5 Au 0.5000 0.0000 0.5000  2 Ni 2.46

=====

Entry 4:
Density functional theory data (PBE) for a geometry-optimized Pm3Ga2Ni structure.

Properties
Space group: Pnma (62)
Energy relative to the elements (eV per atom): -0.51

Lattice parameters (Å, degrees): 11.9967 4.3027 11.4367 90.00 90.00 90.00
Closest atoms and distances in Å follow each position.
Positions (direct):
1 Pm 0.0476 0.2500 0.1269  1 Ni 2.99, 5 Ga 3.03-3.25
2 Pm 0.1178 0.7500 0.5557  3 Ni 2.98-3.01, 5 Ga 3.06-3.17
3 Pm 0.2308 0.2500 0.7960  2 Ni 2.91, 4 Ga 3.04-3.20
4 Pm 0.2692 0.7500 0.2960  2 Ni 2.91, 4 Ga 3.04-3.20
5 Pm 0.3822 0.2500 0.0557  3 Ni 2.98-3.01, 5 Ga 3.06-3.17
6 Pm 0.4524 0.7500 0.6269  1 Ni 2.99, 5 Ga 3.03-3.25
7 Pm 0.5476 0.2500 0.3731  1 Ni 2.99, 5 Ga 3.03-3.25
8 Pm 0.6178 0.7500 0.9443  3 Ni 2.98-3.01, 5 Ga 3.06-3.17
9 Pm 0.7308 0.2500 0.7040  2 Ni 2.91, 4 Ga 3.04-3.20
10 Pm 0.7692 0.7500 0.2040  2 Ni 2.91, 4 Ga 3.04-3.20
11 Pm 0.8822 0.2500 0.4443  3 Ni 2.98-3.01, 5 Ga 3.06-3.17
12 Pm 0.9524 0.7500 0.8731  1 Ni 2.99, 5 Ga 3.03-3.25
13 Ga 0.0159 0.7500 0.3104  2 Ni 2.62
14 Ga 0.1956 0.7500 0.9989  1 Ni 2.58
15 Ga 0.3044 0.2500 0.4989  1 Ni 2.58
16 Ga 0.4841 0.2500 0.8104  2 Ni 2.62
17 Ga 0.5159 0.7500 0.1896  2 Ni 2.62
18 Ga 0.6956 0.7500 0.5011  1 Ni 2.58
19 Ga 0.8044 0.2500 0.0011  1 Ni 2.58
20 Ga 0.9841 0.2500 0.6896  2 Ni 2.62
21 Ni 0.1241 0.2500 0.3753  3 Ga 2.58-2.62
22 Ni 0.3759 0.7500 0.8753  3 Ga 2.58-2.62
23 Ni 0.6241 0.2500 0.1247  3 Ga 2.58-2.62
24 Ni 0.8759 0.7500 0.6247  3 Ga 2.58-2.62

=====

Entry 5:
Density functional theory data (PBE) for a geometry-optimized PRuRh2 structure.

Properties
Space group: Amm2 (38)
Energy relative to the elements (eV per atom): -0.21

Lattice parameters (Å, degrees): 3.7137 2.8795 10.2829 90.00 90.00 90.00
Closest atoms and distances in Å follow each position.
Positions (direct):
1 P 0.0000 0.0000 0.0000  5 Rh 2.36-2.50, 2 Ru 2.37
2 P 0.0000 0.5000 0.5000  5 Rh 2.36-2.50, 2 Ru 2.37
3 Ru 0.5000 0.0000 0.8561  2 P 2.37
4 Ru 0.5000 0.5000 0.3561  2 P 2.37
5 Rh 0.0000 0.0000 0.2294  1 P 2.36
6 Rh 0.0000 0.5000 0.7294  1 P 2.36
7 Rh 0.5000 0.0000 0.5831  4 P 2.50, 2 Ru 2.74, 4 Rh 2.79
8 Rh 0.5000 0.5000 0.0831  4 P 2.50, 2 Ru 2.74, 4 Rh 2.79

=====

Entry 6:
Density functional theory data (PBE) for a geometry-optimized Ba2PdPt2 structure.

Properties
Space group: Immm (71)
Energy relative to the elements (eV per atom): -0.69

Lattice parameters (Å, degrees): 4.8116 5.5918 9.6778 90.00 90.00 90.00
Closest atoms and distances in Å follow each position.
Positions (direct):
1 Ba 0.0000 0.0000 0.1927  6 Pt 3.29-3.34, 2 Pd 3.36
2 Ba 0.0000 0.0000 0.8073  6 Pt 3.29-3.34, 2 Pd 3.36
3 Ba 0.5000 0.5000 0.3073  6 Pt 3.29-3.34, 2 Pd 3.36
4 Ba 0.5000 0.5000 0.6927  6 Pt 3.29-3.34, 2 Pd 3.36
5 Pd 0.0000 0.5000 0.0000  4 Pt 2.79
6 Pd 0.5000 0.0000 0.5000  4 Pt 2.79
7 Pt 0.0000 0.2532 0.5000  2 Pt 2.76-2.83, 2 Pd 2.79
8 Pt 0.0000 0.7468 0.5000  2 Pt 2.76-2.83, 2 Pd 2.79
9 Pt 0.5000 0.2468 0.0000  2 Pt 2.76-2.83, 2 Pd 2.79
10 Pt 0.5000 0.7532 0.0000  2 Pt 2.76-2.83, 2 Pd 2.79

=====

Entry 7:
Density functional theory data (PBE) for a geometry-optimized ZrIrRh2 structure.

Properties
Space group: P2/m (10)
Energy relative to the elements (eV per atom): -0.24

Lattice parameters (Å, degrees): 2.8482 4.5921 5.0903 90.00 101.68 90.00
Closest atoms and distances in Å follow each position.
Positions (direct):
1 Zr 0.0000 0.0000 0.0000  2 Ir 2.65, 2 Zr 2.85, 4 Rh 2.96
2 Ir 0.5000 0.0000 0.5000  4 Rh 2.65, 2 Zr 2.65, 2 Ir 2.85
3 Rh 0.3542 0.5000 0.7305  5 Rh 2.64-2.85, 2 Ir 2.65, 2 Zr 2.96
4 Rh 0.6458 0.5000 0.2695  5 Rh 2.64-2.85, 2 Ir 2.65, 2 Zr 2.96

=====

Entry 8:
Density functional theory data (PBE) for a geometry-optimized NaScTeN2 structure.

Properties
Space group: P4/mmm (123)
Formation energy without anion corrections (meV/atom): 1352

Lattice parameters (Å, degrees): 4.3278 4.3278 5.5335 90.00 90.00 90.00
Closest atoms and distances in Å follow each position.
Positions (direct):
1 Na 0.0000 0.0000 0.0000  4 N 2.16
2 Sc 0.5000 0.5000 0.5000  4 Te 3.06
3 Te 0.0000 0.0000 0.5000  2 Na 2.77, 4 Sc 3.06
4 N 0.0000 0.5000 0.0000  2 Na 2.16
5 N 0.5000 0.0000 0.0000  2 Na 2.16

=====

Entry 9:
Density functional theory data (PBE) for a geometry-optimized TaWS2 structure.

Properties
Space group: I-42d (122)
Formation energy without anion corrections (meV/atom): -66

Lattice parameters (Å, degrees): 4.4197 4.4197 14.5340 90.00 90.00 90.00
Closest atoms and distances in Å follow each position.
Positions (direct):
1 Ta 0.0000 0.0000 0.0000  4 S 2.42
2 Ta 0.0000 0.5000 0.2500  4 S 2.42
3 Ta 0.5000 0.0000 0.7500  4 S 2.42
4 Ta 0.5000 0.5000 0.5000  4 S 2.42
5 W 0.0000 0.0000 0.5000  4 S 2.38
6 W 0.0000 0.5000 0.7500  4 S 2.38
7 W 0.5000 0.0000 0.2500  4 S 2.38
8 W 0.5000 0.5000 0.0000  4 S 2.38
9 S 0.2404 0.2500 0.6250  2 W 2.38, 2 Ta 2.42
10 S 0.2500 0.7404 0.8750  2 W 2.38, 2 Ta 2.42
11 S 0.2500 0.7596 0.3750  2 W 2.38, 2 Ta 2.42
12 S 0.2596 0.2500 0.1250  2 W 2.38, 2 Ta 2.42
13 S 0.7404 0.7500 0.1250  2 W 2.38, 2 Ta 2.42
14 S 0.7500 0.2404 0.3750  2 W 2.38, 2 Ta 2.42
15 S 0.7500 0.2596 0.8750  2 W 2.38, 2 Ta 2.42
16 S 0.7596 0.7500 0.6250  2 W 2.38, 2 Ta 2.42

=====

Entry 10:
Density functional theory data (PBE) for a geometry-optimized Th2RhCl2 structure.

Properties
Space group: C2/m (12)
Formation energy without anion corrections (meV/atom): -1442

Lattice parameters (Å, degrees): 7.1216 4.1089 11.2134 90.00 103.47 90.00
Closest atoms and distances in Å follow each position.
Positions (direct):
1 Th 0.2198 0.0000 0.1457  3 Rh 2.85-2.86, 3 Cl 3.02-3.03
2 Th 0.2802 0.5000 0.8543  3 Rh 2.85-2.86, 3 Cl 3.02-3.03
3 Th 0.7198 0.5000 0.1457  3 Rh 2.85-2.86, 3 Cl 3.02-3.03
4 Th 0.7802 0.0000 0.8543  3 Rh 2.85-2.86, 3 Cl 3.02-3.03
5 Rh 0.0000 0.5000 0.0000  6 Th 2.85-2.86
6 Rh 0.5000 0.0000 0.0000  6 Th 2.85-2.86
7 Cl 0.0509 0.0000 0.6826  3 Th 3.02-3.03
8 Cl 0.4491 0.5000 0.3174  3 Th 3.02-3.03
9 Cl 0.5509 0.5000 0.6826  3 Th 3.02-3.03
10 Cl 0.9491 0.0000 0.3174  3 Th 3.02-3.03

=====

| no. | density of states at the Fermi level (states/eV per atom) |
| --- | --- |
| 1 | 1.33 |
| 2 | 1.36 |
| 3 | 0.55 |
| 4 | 1.07 |
| 5 | 1.19 |
| 6 | 0.37 |
| 7 | 1.31 |
| 8 | 0.67 |
| 9 | 0.52 |
| 10 | 0.64 |